# 1
{
  "formula": "Mn2HgBSb",
  "functional": "PBE",
  "state": "relaxed",
  "cell": [[4.314, 0.000, 0.000], [0.000, 4.314, 0.000], [0.000, 0.000, 4.486]],
  "species": ["Mn", "Mn", "Hg", "B", "Sb"],
  "fractional_positions": [[0.000, 0.500, 0.000], [0.500, 0.000, 0.000], [0.000, 0.000, 0.500], [0.000, 0.000, 0.000], [0.500, 0.500, 0.500]],
  "spacegroup": "No. 123",
  "total_energy_ev_per_atom": -5.45,
  "e_form_raw_ev_per_atom": 0.435,
  "magnetic_moment_mub_per_cell": 6.321
}

***

# 2
{
  "formula": "MgScBi3",
  "functional": "PBE",
  "state": "relaxed",
  "cell": [[5.465, 0.000, 0.000], [0.000, 5.465, 0.000], [0.000, 0.000, 5.465]],
  "species": ["Mg", "Sc", "Bi", "Bi", "Bi"],
  "fractional_positions": [[0.000, 0.000, 0.000], [0.500, 0.500, 0.500], [0.000, 0.000, 0.500], [0.000, 0.500, 0.000], [0.500, 0.000, 0.000]],
  "formation_enthalpy_0k_ev_per_atom": 0.433,
  "spacegroup": "No. 221",
  "total_energy_ev_per_atom": -3.48,
  "magnetic_moment_mub_per_cell": 0.000
}

***

no.,Fermi-level density of states (states/eV/cell)
1,3.05
2,5.12